This record from the Alexandria database describes a relaxed structure of BaWBr2. The functional is GGA-PBE.

The structure in CIF format:
```
data_BaWBr2
_chemical_formula_sum 'Ba4 W4 Br8'
_cell_length_a 7.989
_cell_length_b 7.989
_cell_length_c 7.989
_cell_angle_alpha 90.00
_cell_angle_beta 90.00
_cell_angle_gamma 90.00
_space_group_name_H-M_alt 'F m -3 m'
_space_group_IT_number 225
_space_group_name_Hall '-F 4 2 3'
loop_
_atom_site_label
_atom_site_type_symbol
_atom_site_fract_x
_atom_site_fract_y
_atom_site_fract_z
Ba1 Ba 0.000 0.000 0.000
W1 W 0.000 0.000 0.500
Br1 Br 0.250 0.250 0.250
```

Computed properties:
**Calculated volume**: 509.8 Å³/cell
**Raw formation energy**: 0.26 eV/atom
**Crystal system**: cubic
**E above lowest polymorph**: 0.84 eV/f.u.

---

This record from the Alexandria database describes a relaxed structure of Li2MgZn. The functional is GGA-PBE.

The structure in CIF format:
```
data_Li2MgZn
_chemical_formula_sum 'Li6 Mg3 Zn3'
_cell_length_a 2.9748
_cell_length_b 2.9748
_cell_length_c 29.1036
_cell_angle_alpha 90.00
_cell_angle_beta 90.00
_cell_angle_gamma 120.00
_space_group_name_H-M_alt 'R -3 m'
_space_group_IT_number 166
_space_group_name_Hall '-R 3 2"'
loop_
_atom_site_label
_atom_site_type_symbol
_atom_site_fract_x
_atom_site_fract_y
_atom_site_fract_z
Li1 Li 0.0000 0.0000 0.2446
Mg1 Mg 0.0000 0.0000 0.0000
Zn1 Zn 0.0000 0.0000 0.5000
```

Computed properties:
**Calculated volume**: 223.0 Å³/cell
**DFT formation energy**: -0.057 eV per atom
**Crystal system**: trigonal

---

This record from the Alexandria database describes a relaxed structure of LiLa4AlO8. The functional is GGA-PBE.

The structure in CIF format:
```
data_LiLa4AlO8
_chemical_formula_sum 'Li2 La8 Al2 O16'
_cell_length_a 5.376
_cell_length_b 12.687
_cell_length_c 5.396
_cell_angle_alpha 90.00
_cell_angle_beta 90.00
_cell_angle_gamma 90.00
_space_group_name_H-M_alt 'C m m m'
_space_group_IT_number 65
_space_group_name_Hall '-C 2 2'
loop_
_atom_site_label
_atom_site_type_symbol
_atom_site_fract_x
_atom_site_fract_y
_atom_site_fract_z
Li1 Li 0.000 0.000 0.000
La1 La 0.000 0.136 0.500
La2 La 0.000 0.363 0.000
Al1 Al 0.000 0.500 0.500
O1 O 0.000 0.181 0.000
O2 O 0.000 0.330 0.500
O3 O 0.243 0.500 0.261
```

Computed properties:
**Calculated volume**: 368.1 Å³/cell
**Raw formation energy**: -3.20 eV/atom
**Crystal system**: orthorhombic

---

This record from the Alexandria database describes a relaxed structure of KLiNb2O6. The functional is GGA-PBE.

The structure in CIF format:
```
data_KLiNb2O6
_chemical_formula_sum 'K4 Li4 Nb8 O24'
_cell_length_a 10.078
_cell_length_b 11.576
_cell_length_c 6.449
_cell_angle_alpha 90.00
_cell_angle_beta 112.38
_cell_angle_gamma 90.00
_space_group_name_H-M_alt 'C 1 2/c 1'
_space_group_IT_number 15
loop_
_space_group_symop_operation_xyz
'x,y,z'
'-x,-y,-z'
'-x,y,-z+1/2'
'x,-y,z+1/2'
'x+1/2,y+1/2,z'
'-x+1/2,-y+1/2,-z'
'-x+1/2,y+1/2,-z+1/2'
'x+1/2,-y+1/2,z+1/2'
loop_
_atom_site_label
_atom_site_type_symbol
_atom_site_fract_x
_atom_site_fract_y
_atom_site_fract_z
K1 K 0.000 0.105 0.250
Li1 Li 0.000 0.199 0.750
Nb1 Nb 0.156 0.418 0.172
O1 O 0.091 0.279 0.050
O2 O 0.116 0.460 0.443
O3 O 0.149 0.092 0.715
```

Computed properties:
**Calculated volume**: 695.7 Å³/cell
**Raw formation energy**: -2.41 eV/atom
**Crystal system**: monoclinic

---

This record from the Alexandria database describes a relaxed structure of MnCd2Pt3. The functional is GGA-PBE.

The structure in CIF format:
```
data_MnCd2Pt3
_chemical_formula_sum 'Mn4 Cd8 Pt12'
_cell_length_a 4.214
_cell_length_b 12.622
_cell_length_c 7.550
_cell_angle_alpha 90.00
_cell_angle_beta 90.00
_cell_angle_gamma 90.00
_space_group_name_H-M_alt 'C m m m'
_space_group_IT_number 65
_space_group_name_Hall '-C 2 2'
loop_
_atom_site_label
_atom_site_type_symbol
_atom_site_fract_x
_atom_site_fract_y
_atom_site_fract_z
Mn1 Mn 0.000 0.165 0.000
Cd1 Cd 0.000 0.167 0.500
Cd2 Cd 0.000 0.500 0.000
Cd3 Cd 0.000 0.500 0.500
Pt1 Pt 0.000 0.000 0.242
Pt2 Pt 0.000 0.329 0.231
```

Computed properties:
**Calculated volume**: 401.6 Å³/cell
**DFT formation energy**: -0.344 eV per atom
**Crystal system**: orthorhombic

---

This record from the Alexandria database describes a relaxed structure of CeNpSi4. The functional is GGA-PBE.

The structure in CIF format:
```
data_CeNpSi4
_chemical_formula_sum 'Ce4 Np4 Si16'
_cell_length_a 7.464
_cell_length_b 7.464
_cell_length_c 7.464
_cell_angle_alpha 90.00
_cell_angle_beta 90.00
_cell_angle_gamma 90.00
_space_group_name_H-M_alt 'F -4 3 m'
_space_group_IT_number 216
_space_group_name_Hall 'F -4 2 3'
loop_
_atom_site_label
_atom_site_type_symbol
_atom_site_fract_x
_atom_site_fract_y
_atom_site_fract_z
Ce1 Ce 0.000 0.000 0.000
Np1 Np 0.250 0.250 0.750
Si1 Si 0.124 0.124 0.376
```

Computed properties:
**Calculated volume**: 415.8 Å³/cell
**Raw formation energy**: -0.31 eV/atom
**Crystal system**: cubic
**E above lowest polymorph**: 0.30 eV/f.u.